(w)
Entry from the Alexandria database: a relaxed Er2Tm6In crystal (PBE).

Cell lengths 15.6178, 11.3802, 6.0280 Å; angles 90.00, 97.14, 90.00 degrees
Space group C2/c (No. 15)
One atom of each set of equivalent atoms:
1 Er 0.1768 0.1088 0.0713 (multiplicity 8)
2 Tm 0.0531 0.1367 0.5202 (multiplicity 8)
3 Tm 0.1032 0.3792 0.8359 (multiplicity 8)
4 Tm 0.2080 0.3596 0.3647 (multiplicity 8)
5 In 0.0000 0.3711 0.2500 (multiplicity 4)

**Crystal system**: monoclinic
**Total moment**: 0.00 μB/f.u.



(x)
Entry from the Alexandria database: a relaxed Er2Tm6In crystal (PBE).

Cell lengths 14.7922, 3.4750, 10.5406 Å; angles 90.00, 103.53, 90.00 degrees
Space group C2/m (No. 12)
One atom of each set of equivalent atoms:
1 Er 0.1623 0.0000 0.2144 (multiplicity 4)
2 Tm 0.0011 0.5000 0.3417 (multiplicity 4)
3 Tm 0.1619 0.0000 0.8910 (multiplicity 4)
4 Tm 0.1685 0.0000 0.5586 (multiplicity 4)
5 In 0.0000 0.5000 0.0000 (multiplicity 2)

**Crystal system**: monoclinic
**Total moment**: 0.00 μB/f.u.



Consider the structures shown above. The least stable of them is (w).